<P>
TcGe2 | PBE-GGA | optimized geometry

Its calculated volume is 16.21 A^3/atom.

The structure belongs to space group P6_3/mmc (No. 194); the cell edges are 6.1468, 6.1468 and 11.8916 Å and the angles 90.00°, 90.00° and 120.00°. The asymmetric unit holds Tc at (0.0000, 0.0000, 0.2500), Tc at (0.0018, 0.5009, 0.2500), Ge at (0.1665, 0.3331, 0.0945) and Ge at (0.3333, 0.6667, 0.5959).

=====

<Q>
TcGe2 | PBE-GGA | optimized geometry

Its calculated volume is 16.75 A^3/atom.

The structure belongs to space group Fd-3m (No. 227, origin choice 2); the cell edges are 7.3798, 7.3798 and 7.3798 Å and the angles 90.00°, 90.00° and 90.00°. The asymmetric unit holds Tc at (0.1250, 0.1250, 0.1250) and Ge at (0.0000, 0.0000, 0.5000).

=====

<R>
TcGe2 | PBE-GGA | optimized geometry

Its calculated volume is 51.53 A^3/atom.

The structure belongs to space group Fd-3m (No. 227, origin choice 2); the cell edges are 10.7337, 10.7337 and 10.7337 Å and the angles 90.00°, 90.00° and 90.00°. The asymmetric unit holds Tc at (0.1250, 0.1250, 0.1250) and Ge at (0.0000, 0.0000, 0.0000).

=====

The most stable arrangement is <P>, and the next structure is 869 meV per atom less stable.

=====

<P>
TmTc2Ge2 | PBE-GGA | optimized geometry

Its calculated volume is 18.29 A^3/atom.

The structure belongs to space group C2/m (No. 12); the cell edges are 21.5032, 4.1028 and 4.1949 Å and the angles 90.00°, 98.74° and 90.00°. The asymmetric unit holds Tm at (0.1484, 0.0000, 0.3622), Tc at (0.0357, 0.0000, 0.7770), Tc at (0.0379, 0.5000, 0.2809), Ge at (0.1101, 0.5000, 0.8393) and Ge at (0.2285, 0.5000, 0.8341).

=====

<Q>
TmTc2Ge2 | PBE-GGA | optimized geometry

Its calculated volume is 18.60 A^3/atom.

The structure belongs to space group I4/mmm (No. 139); the cell edges are 4.4093, 4.4093 and 9.5690 Å and the angles 90.00°, 90.00° and 90.00°. The asymmetric unit holds Tm at (0.0000, 0.0000, 0.0000), Tc at (0.0000, 0.0000, 0.3810) and Ge at (0.0000, 0.5000, 0.2500).

=====

<R>
TmTc2Ge2 | PBE-GGA | optimized geometry

Its calculated volume is 18.01 A^3/atom.

The structure belongs to space group I4/mmm (No. 139); the cell edges are 4.1388, 4.1388 and 10.5112 Å and the angles 90.00°, 90.00° and 90.00°. The asymmetric unit holds Tm at (0.0000, 0.0000, 0.0000), Tc at (0.0000, 0.5000, 0.2500) and Ge at (0.0000, 0.0000, 0.3811).

=====

The most stable arrangement is <P>, and the next structure is 59 meV per atom less stable.

=====

<P>
UTcGe | PBE-GGA | optimized geometry

Its calculated volume is 20.45 A^3/atom.

The structure belongs to space group F-43m (No. 216); the cell edges are 6.2602, 6.2602 and 6.2602 Å and the angles 90.00°, 90.00° and 90.00°. The asymmetric unit holds U at (0.0000, 0.0000, 0.0000), Tc at (0.0000, 0.0000, 0.5000) and Ge at (0.2500, 0.2500, 0.7500).

=====

<Q>
UTcGe | PBE-GGA | optimized geometry

Its calculated volume is 21.86 A^3/atom.

The structure belongs to space group F-43m (No. 216); the cell edges are 6.4010, 6.4010 and 6.4010 Å and the angles 90.00°, 90.00° and 90.00°. The asymmetric unit holds U at (0.0000, 0.0000, 0.0000), Tc at (0.2500, 0.2500, 0.7500) and Ge at (0.2500, 0.2500, 0.2500).

=====

The most stable arrangement is <P>, and the next structure is 337 meV per atom less stable.

=====

<P>
YTcGe | PBE-GGA | optimized geometry

Its calculated volume is 21.09 A^3/atom.

The structure belongs to space group F-43m (No. 216); the cell edges are 6.3249, 6.3249 and 6.3249 Å and the angles 90.00°, 90.00° and 90.00°. The asymmetric unit holds Y at (0.0000, 0.0000, 0.0000), Tc at (0.0000, 0.0000, 0.5000) and Ge at (0.2500, 0.2500, 0.7500).

=====

<Q>
YTcGe | PBE-GGA | optimized geometry

Its calculated volume is 23.54 A^3/atom.

The structure belongs to space group F-43m (No. 216); the cell edges are 6.5614, 6.5614 and 6.5614 Å and the angles 90.00°, 90.00° and 90.00°. The asymmetric unit holds Y at (0.0000, 0.0000, 0.0000), Tc at (0.2500, 0.2500, 0.7500) and Ge at (0.2500, 0.2500, 0.2500).

=====

The most stable arrangement is <P>, and the next structure is 898 meV per atom less stable.

=====

<P>
Zr2TcGe2 | PBE-GGA | optimized geometry

Its calculated volume is 19.04 A^3/atom.

The structure belongs to space group I4/mmm (No. 139); the cell edges are 3.5062, 3.5062 and 15.4844 Å and the angles 90.00°, 90.00° and 90.00°. The asymmetric unit holds Zr at (0.0000, 0.0000, 0.0995), Tc at (0.0000, 0.0000, 0.5000) and Ge at (0.0000, 0.5000, 0.2500).

=====

<Q>
Zr2TcGe2 | PBE-GGA | optimized geometry

Its calculated volume is 19.82 A^3/atom.

The structure belongs to space group I4/mmm (No. 139); the cell edges are 4.0843, 4.0843 and 11.8815 Å and the angles 90.00°, 90.00° and 90.00°. The asymmetric unit holds Zr at (0.0000, 0.5000, 0.2500), Tc at (0.0000, 0.0000, 0.0000) and Ge at (0.0000, 0.0000, 0.4043).

=====

<R>
Zr2TcGe2 | PBE-GGA | optimized geometry

Its calculated volume is 17.78 A^3/atom.

The structure belongs to space group P4/mbm (No. 127); the cell edges are 6.6994, 6.6994 and 3.9623 Å and the angles 90.00°, 90.00° and 90.00°. The asymmetric unit holds Zr at (0.1715, 0.3285, 0.0000), Tc at (0.0000, 0.0000, 0.5000) and Ge at (0.1352, 0.6352, 0.5000).

=====

The most stable arrangement is <R>, and the next structure is 539 meV per atom less stable.

=====

<P>
TmTlGeTe3 | PBE-GGA | optimized geometry

Its calculated volume is 33.75 A^3/atom.

The structure belongs to space group Cmcm (No. 63); the cell edges are 4.5847, 15.1802 and 11.6377 Å and the angles 90.00°, 90.00° and 90.00°. The asymmetric unit holds Tm at (0.0000, 0.0000, 0.0000), Tl at (0.0000, 0.2493, 0.2500), Ge at (0.0000, 0.4652, 0.7500), Te at (0.0000, 0.0779, 0.7500) and Te at (0.0000, 0.3642, 0.5445).

=====

<Q>
TmTlGeTe3 | PBE-GGA | optimized geometry

Its calculated volume is 34.78 A^3/atom.

The structure belongs to space group Pnma (No. 62); the cell edges are 16.0925, 4.2515 and 12.1998 Å and the angles 90.00°, 90.00° and 90.00°. The asymmetric unit holds Tm at (0.0097, 0.2500, 0.1541), Tl at (0.2269, 0.7500, 0.5700), Ge at (0.0354, 0.7500, 0.4244), Te at (0.0912, 0.2500, 0.7245), Te at (0.1112, 0.7500, 0.0369) and Te at (0.1358, 0.2500, 0.3424).

=====

The most stable arrangement is <Q>, and the next structure is 99 meV per atom less stable.

=====

<P>
TmTlGe | PBE-GGA | optimized geometry

Its calculated volume is 28.18 A^3/atom.

The structure belongs to space group F-43m (No. 216); the cell edges are 6.9672, 6.9672 and 6.9672 Å and the angles 90.00°, 90.00° and 90.00°. The asymmetric unit holds Tm at (0.0000, 0.0000, 0.0000), Tl at (0.2500, 0.2500, 0.7500) and Ge at (0.0000, 0.0000, 0.5000).

=====

<Q>
TmTlGe | PBE-GGA | optimized geometry

Its calculated volume is 28.11 A^3/atom.

The structure belongs to space group F-43m (No. 216); the cell edges are 6.9611, 6.9611 and 6.9611 Å and the angles 90.00°, 90.00° and 90.00°. The asymmetric unit holds Tm at (0.0000, 0.0000, 0.0000), Tl at (0.2500, 0.2500, 0.2500) and Ge at (0.2500, 0.2500, 0.7500).

=====

The most stable arrangement is <Q>, and the next structure is 219 meV per atom less stable.

=====

<P>
UTlGe | PBE-GGA | optimized geometry

Its calculated volume is 28.77 A^3/atom.

The structure belongs to space group F-43m (No. 216); the cell edges are 7.0151, 7.0151 and 7.0151 Å and the angles 90.00°, 90.00° and 90.00°. The asymmetric unit holds U at (0.0000, 0.0000, 0.0000), Tl at (0.2500, 0.2500, 0.2500) and Ge at (0.2500, 0.2500, 0.7500).

=====

<Q>
UTlGe | PBE-GGA | optimized geometry

Its calculated volume is 26.67 A^3/atom.

The structure belongs to space group F-43m (No. 216); the cell edges are 6.8402, 6.8402 and 6.8402 Å and the angles 90.00°, 90.00° and 90.00°. The asymmetric unit holds U at (0.0000, 0.0000, 0.0000), Tl at (0.0000, 0.0000, 0.5000) and Ge at (0.2500, 0.2500, 0.7500).

=====

The most stable arrangement is <Q>, and the next structure is 79 meV per atom less stable.

=====

<P>
Ge3W5 | PBE-GGA | optimized geometry

Its calculated volume is 15.41 A^3/atom.

The structure belongs to space group I4/mcm (No. 140); the cell edges are 9.8818, 9.8818 and 5.0510 Å and the angles 90.00°, 90.00° and 90.00°. The asymmetric unit holds Ge at (0.0000, 0.0000, 0.2500), Ge at (0.1698, 0.3302, 0.0000), W at (0.0000, 0.5000, 0.2500) and W at (0.0748, 0.2305, 0.5000).

=====

<Q>
Ge3W5 | PBE-GGA | optimized geometry

Its calculated volume is 15.67 A^3/atom.

The structure belongs to space group I4/mcm (No. 140); the cell edges are 6.3738, 6.3738 and 12.3415 Å and the angles 90.00°, 90.00° and 90.00°. The asymmetric unit holds Ge at (0.0000, 0.0000, 0.2500), Ge at (0.1380, 0.3620, 0.0000), W at (0.0000, 0.0000, 0.0000) and W at (0.1661, 0.3339, 0.3402).

=====

The most stable arrangement is <P>, and the next structure is 159 meV per atom less stable.

=====

<P>
H3Ir | PBE-GGA | optimized geometry

Its calculated volume is 7.52 A^3/atom.

The structure belongs to space group P6_3cm (No. 185); the cell edges are 5.0641, 5.0641 and 8.1254 Å and the angles 90.00°, 90.00° and 120.00°. The asymmetric unit holds H at (0.0000, 0.0000, 0.0000), H at (0.0000, 0.3284, 0.8079), H at (0.0000, 0.3395, 0.2028), H at (0.3333, 0.6667, 0.0032) and Ir at (0.0000, 0.3351, 0.3997).

=====

<Q>
H3Ir | PBE-GGA | optimized geometry

Its calculated volume is 8.79 A^3/atom.

The structure belongs to space group C2/m (No. 12); the cell edges are 4.4425, 7.7078 and 4.3659 Å and the angles 90.00°, 109.80° and 90.00°. The asymmetric unit holds H at (0.2437, 0.0000, 0.2432), H at (0.2500, 0.1695, 0.7559) and Ir at (0.0000, 0.1666, 0.0000).

=====

<R>
H3Ir | PBE-GGA | optimized geometry

Its calculated volume is 6.74 A^3/atom.

The structure belongs to space group R-3c (No. 167, hexagonal axes); the cell edges are 4.1707, 4.1707 and 10.7425 Å and the angles 90.00°, 90.00° and 120.00°. The asymmetric unit holds H at (0.0000, 0.2950, 0.2500) and Ir at (0.0000, 0.0000, 0.0000).

=====

The most stable arrangement is <R>, and the next structure is 34 meV per atom less stable.